Computed, not measured: a geometry-optimized TiMnCdN2 structure at the PBE level of DFT.

Unit cell a=3.7673 b=3.7673 c=4.8077 alpha=90.00 beta=90.00 gamma=90.00
Closest atoms and distances in Å follow each position.
Space group P4/mmm (No. 123)
Unique sites:
Ti 0.0000 0.0000 0.0000 (multiplicity 1)  2 Mn 2.40, 4 Cd 2.66
Mn 0.0000 0.0000 0.5000 (multiplicity 1)  4 N 1.88
Cd 0.5000 0.5000 0.0000 (multiplicity 1)  4 Ti 2.66
N 0.0000 0.5000 0.5000 (multiplicity 2)  2 Mn 1.88

- Formation energy (no corrections): 18.951 kcal/mol of atoms
- Crystal system: tetragonal

Computed, not measured: a geometry-optimized Mg4Cd2Ga5 structure at the PBE level of DFT.

Unit cell a=7.4217 b=3.0328 c=10.4340 alpha=90.00 beta=108.17 gamma=90.00
Closest atoms and distances in Å follow each position.
Space group P2/m (No. 10)
Unique sites:
Mg 0.2246 0.0000 0.3466 (multiplicity 2)  8 Ga 2.87-3.05, 2 Mg 3.03
Mg 0.2443 0.0000 0.7653 (multiplicity 2)  6 Ga 2.85-3.18, 2 Mg 3.03, 2 Cd 3.15
Cd 0.3733 0.5000 0.0928 (multiplicity 2)  3 Ga 2.92-3.13, 3 Cd 3.03-3.09, 2 Mg 3.15
Ga 0.0000 0.5000 0.5000 (multiplicity 1)  4 Ga 2.91-3.03, 8 Mg 3.05-3.18
Ga 0.0061 0.5000 0.8789 (multiplicity 2)  1 Ga 2.56, 2 Mg 2.85
Ga 0.4124 0.5000 0.5974 (multiplicity 2)  4 Ga 2.73-3.03, 6 Mg 2.88-2.99

- Crystal system: monoclinic
- Energy relative to the elements: -0.085 eV per atom

Computed, not measured: a geometry-optimized Dy2GeAu structure at the PBE level of DFT.

Unit cell a=4.3144 b=4.0498 c=10.9309 alpha=90.00 beta=90.00 gamma=90.00
Closest atoms and distances in Å follow each position.
Space group Amm2 (No. 38)
Unique sites:
Dy 0.0000 0.0000 0.0000 (multiplicity 2)  3 Ge 3.00-3.19, 4 Au 3.02
Dy 0.5000 0.0000 0.2782 (multiplicity 2)  4 Ge 3.01, 3 Au 3.02-3.17
Ge 0.0000 0.0000 0.7257 (multiplicity 2)  2 Au 2.85, 7 Dy 3.00-3.19
Au 0.5000 0.0000 0.5547 (multiplicity 2)  2 Ge 2.85, 7 Dy 3.02-3.17

- Crystal system: orthorhombic
- Energy relative to the elements: -0.864 eV per atom